# 1
Y3TlO | PBE | relaxed

- Space-group type: Cmcm (63)
- Theoretical density: 5.796 g cm⁻³
- Total energy: -6.4654 eV/atom
- Formation energy without anion corrections: -1122.1 meV/atom
- Volume: 27.9 Å³/atom
- Fermi-level density of states: 9.752 states/eV/cell

a b c (Å): 6.563 6.563 7.172
angles (deg): 90.00 90.00 115.40
Fractional positions:
Y1 0.000 0.000 0.500
Y2 0.990 0.511 0.250
Y3 0.010 0.489 0.750
Y4 0.000 0.000 0.000
Y5 0.489 0.010 0.250
Y6 0.511 0.990 0.750
O1 0.879 0.121 0.750
O2 0.121 0.879 0.250
Tl1 0.515 0.485 0.750
Tl2 0.485 0.515 0.250

---

# 2
ReRu2W | PBE | relaxed

- Space-group type: R-3m (166)
- Theoretical density: 16.042 g cm⁻³
- Total energy: -10.8854 eV/atom
- Offset from the most stable computed form: 90 meV/atom
- Volume: 14.8 Å³/atom
- Fermi-level density of states: 3.659 states/eV/cell
- Formation energy: 0.1028 eV/atom

a b c (Å): 9.188 9.188 9.188
angles (deg): 17.21 17.21 17.21
Fractional positions:
W1 0.250 0.250 0.250
Ru1 0.499 0.499 0.499
Ru2 0.001 0.001 0.001
Re1 0.750 0.750 0.750

---

# 3
TmCo4Ag | PBE | relaxed

- Space-group type: F-43m (216)
- Theoretical density: 9.957 g cm⁻³
- Total energy: -6.0401 eV/atom
- Volume: 14.2 Å³/atom
- Fermi-level density of states: 6.455 states/eV/cell
- Formation energy: -0.0823 eV/atom

a b c (Å): 4.945 4.945 4.945
angles (deg): 60.00 60.00 60.00
Last column: magnetic moment on the atom in μB.
Fractional positions:
Co1 0.625 0.625 0.625  1.59
Co2 0.126 0.625 0.625  1.59
Co3 0.625 0.625 0.126  1.59
Co4 0.625 0.126 0.625  1.59
Tm1 0.000 0.000 0.000  -0.36
Ag1 0.250 0.250 0.250  -0.01

---

# 4
Hg12Bi2Pb5 | PBE | relaxed

- Space-group type: C2/m (12)
- Theoretical density: 11.689 g cm⁻³
- Total energy: -1.5299 eV/atom
- Volume: 28.9 Å³/atom
- Fermi-level density of states: 7.330 states/eV/cell
- Formation energy: 0.0451 eV/atom

a b c (Å): 3.428 15.735 15.735
angles (deg): 42.17 104.63 104.63
Fractional positions:
Bi1 0.000 0.736 0.264
Bi2 0.000 0.264 0.736
Pb1 0.725 0.666 0.666
Pb2 0.275 0.334 0.334
Pb3 0.541 0.228 0.228
Pb4 0.500 0.000 0.000
Pb5 0.459 0.772 0.772
Hg1 0.589 0.138 0.648
Hg2 0.918 0.113 0.113
Hg3 0.082 0.887 0.887
Hg4 0.411 0.862 0.352
Hg5 0.589 0.648 0.138
Hg6 0.822 0.559 0.559
Hg7 0.879 0.550 0.047
Hg8 0.411 0.352 0.862
Hg9 0.178 0.441 0.441
Hg10 0.121 0.953 0.450
Hg11 0.121 0.450 0.953
Hg12 0.879 0.047 0.550

---

# 5
BaReSb2 | PBE | relaxed

- Space-group type: P4/mmm (123)
- Theoretical density: 8.735 g cm⁻³
- Total energy: -4.9473 eV/atom
- Offset from the most stable computed form: 767 meV/atom
- Formation energy without anion corrections: 706.6 meV/atom
- Volume: 26.9 Å³/atom
- Fermi-level density of states: 4.443 states/eV/cell

a b c (Å): 4.851 4.857 4.575
angles (deg): 90.00 90.00 90.00
Last column: magnetic moment on the atom in μB.
Fractional positions:
Re1 0.000 0.500 0.500  2.15
Ba1 0.500 0.000 0.500  -0.02
Sb1 0.000 0.000 0.000  -0.02
Sb2 0.500 0.500 0.000  -0.02

---

# 6
DyTmPt2 | PBE | relaxed

- Space-group type: Fm-3m (225)
- Theoretical density: 14.303 g cm⁻³
- Total energy: -6.5434 eV/atom
- Offset from the most stable computed form: 48 meV/atom
- Volume: 20.9 Å³/atom
- Fermi-level density of states: 2.105 states/eV/cell
- Formation energy: -1.2546 eV/atom

a b c (Å): 4.912 4.912 4.912
angles (deg): 60.00 60.00 60.00
Fractional positions:
Pt1 0.750 0.750 0.750
Pt2 0.250 0.250 0.250
Dy1 0.000 0.000 0.000
Tm1 0.500 0.500 0.500

---

# 7
Pa2TiAlN5 | PBE | relaxed

- Space-group type: Cmc2_1 (36)
- Theoretical density: 9.449 g cm⁻³
- Total energy: -9.4951 eV/atom
- Formation energy without anion corrections: -1466.7 meV/atom
- Volume: 11.9 Å³/atom
- Fermi-level density of states: 12.679 states/eV/cell

a b c (Å): 3.286 6.857 9.752
angles (deg): 90.00 90.00 103.86
Fractional positions:
N1 0.946 0.891 0.548
N2 0.713 0.426 0.153
N3 0.305 0.609 0.362
N4 0.503 0.007 0.282
N5 0.497 0.993 0.782
N6 0.054 0.109 0.048
N7 0.633 0.267 0.507
N8 0.367 0.733 0.007
N9 0.695 0.391 0.862
N10 0.287 0.574 0.653
Ti1 0.788 0.576 0.504
Ti2 0.212 0.424 0.004
Pa1 0.121 0.241 0.698
Pa2 0.879 0.759 0.198
Pa3 0.864 0.728 0.792
Pa4 0.136 0.272 0.292
Al1 0.518 0.037 0.977
Al2 0.482 0.963 0.477

---

# 8
La2PmPuN5 | PBE | relaxed

- Space-group type: Cmc2_1 (36)
- Theoretical density: 8.174 g cm⁻³
- Total energy: -8.9762 eV/atom
- Formation energy without anion corrections: -1135.8 meV/atom
- Volume: 16.6 Å³/atom
- Fermi-level density of states: 7.342 states/eV/cell

a b c (Å): 3.867 6.841 11.799
angles (deg): 90.00 90.00 106.42
Last column: magnetic moment on the atom in μB.
Fractional positions:
N1 0.426 0.852 0.078  -0.12
N2 0.331 0.662 0.359  -0.10
N3 0.574 0.148 0.578  -0.12
N4 0.252 0.504 0.619  -0.07
N5 0.582 0.163 0.341  -0.12
N6 0.748 0.496 0.119  -0.07
N7 0.924 0.849 0.543  -0.16
N8 0.076 0.151 0.043  -0.16
N9 0.669 0.338 0.859  -0.10
N10 0.418 0.837 0.841  -0.12
La1 0.907 0.813 0.199  -0.01
La2 0.160 0.320 0.235  -0.01
La3 0.093 0.187 0.699  -0.01
La4 0.840 0.680 0.735  -0.01
Pu1 0.459 0.918 0.470  2.65
Pu2 0.541 0.082 0.970  2.65
Pm1 0.267 0.534 0.981  0.00
Pm2 0.733 0.466 0.481  0.00

---

# 9
NaEu2Ru | PBE | relaxed

- Space-group type: P4/mmm (123)
- Theoretical density: 5.999 g cm⁻³
- Total energy: -7.7167 eV/atom
- Volume: 29.6 Å³/atom
- Fermi-level density of states: 6.590 states/eV/cell
- Formation energy: 0.0693 eV/atom

a b c (Å): 3.500 3.500 9.670
angles (deg): 90.00 90.00 90.00
Last column: magnetic moment on the atom in μB.
Fractional positions:
Ru1 0.500 0.500 0.000  -0.51
Eu1 0.000 0.000 0.178  6.86
Eu2 0.000 0.000 0.822  6.86
Na1 0.500 0.500 0.500  0.00

---

# 10
VPPtS2 | PBE | relaxed

- Space-group type: P4/mmm (123)
- Theoretical density: 5.524 g cm⁻³
- Total energy: -4.8575 eV/atom
- Offset from the most stable computed form: 447 meV/atom
- Formation energy without anion corrections: 907.4 meV/atom
- Volume: 20.5 Å³/atom
- Fermi-level density of states: 6.723 states/eV/cell

a b c (Å): 4.782 4.782 4.485
angles (deg): 90.00 90.00 90.00
Last column: magnetic moment on the atom in μB.
Fractional positions:
P1 0.000 0.000 0.500  0.10
V1 0.500 0.500 0.500  -0.02
S1 0.500 0.000 0.000  -0.05
S2 0.000 0.500 0.000  -0.05
Pt1 0.000 0.000 0.000  0.03

---

# 11
Sr4Li2Au5 | PBE | relaxed

- Space-group type: Ibam (72)
- Theoretical density: 7.701 g cm⁻³
- Total energy: -3.0642 eV/atom
- Volume: 26.4 Å³/atom
- Fermi-level density of states: 8.196 states/eV/cell
- Formation energy: -0.6149 eV/atom

a b c (Å): 6.141 9.785 11.276
angles (deg): 115.72 105.80 90.00
Fractional positions:
Au1 0.090 0.499 0.179
Au2 0.218 0.043 0.437
Au3 0.590 0.681 0.179
Au4 0.782 0.957 0.563
Au5 0.282 0.606 0.563
Au6 0.718 0.394 0.437
Au7 0.750 0.000 0.000
Au8 0.910 0.501 0.821
Au9 0.250 0.000 0.000
Au10 0.410 0.319 0.821
Sr1 0.848 0.726 0.696
Sr2 0.652 0.030 0.304
Sr3 0.439 0.660 0.878
Sr4 0.348 0.970 0.696
Sr5 0.061 0.782 0.122
Sr6 0.152 0.274 0.304
Sr7 0.561 0.340 0.122
Sr8 0.939 0.218 0.878
Li1 0.947 0.697 0.393
Li2 0.053 0.303 0.607
Li3 0.447 0.697 0.393
Li4 0.553 0.303 0.607

---

# 12
ErTiPt6 | PBE | relaxed

- Space-group type: P4/mmm (123)
- Theoretical density: 17.632 g cm⁻³
- Total energy: -7.0756 eV/atom
- Volume: 16.3 Å³/atom
- Fermi-level density of states: 3.417 states/eV/cell
- Formation energy: -0.9878 eV/atom

a b c (Å): 4.025 4.025 8.054
angles (deg): 90.00 90.00 90.00
Fractional positions:
Pt1 0.500 0.500 0.000
Pt2 0.000 0.500 0.736
Pt3 0.500 0.500 0.500
Pt4 0.500 0.000 0.264
Pt5 0.000 0.500 0.264
Pt6 0.500 0.000 0.736
Ti1 0.000 0.000 0.500
Er1 0.000 0.000 0.000